A geometry-optimized NaAsPdO structure, computed with PBE.

Cell lengths 3.8180, 6.4153, 6.3279 Å; angles 90.00, 90.00, 90.00 degrees
With the nearest neighbours (Å) after each atom.
Fractional coordinates of all 8 atoms:
1 Na 0.0000 0.1312 0.0000  2 O 2.24-2.26
2 Na 0.0000 0.8688 0.5000  2 O 2.24-2.26
3 As 0.5000 0.3802 0.7464  2 Pd 2.38-2.44
4 As 0.5000 0.6198 0.2464  2 Pd 2.38-2.44
5 Pd 0.5000 0.2719 0.3766  2 O 1.99
6 Pd 0.5000 0.7281 0.8766  2 O 1.99
7 O 0.0000 0.1884 0.3495  2 Pd 1.99
8 O 0.0000 0.8116 0.8495  2 Pd 1.99

energy above the lowest structure with this stoichiometry = 0.1996 eV/atom
E_tot = -4.36 eV/atom



A geometry-optimized NaAsPdO structure, computed with PBE.

Cell lengths 4.1200, 4.1200, 6.5991 Å; angles 90.00, 90.00, 90.00 degrees
With the nearest neighbours (Å) after each atom.
Fractional coordinates of all 8 atoms:
1 Na 0.2500 0.2500 0.1526  4 O 2.29
2 Na 0.7500 0.7500 0.8474  4 O 2.29
3 As 0.2500 0.2500 0.7449  4 Pd 2.62, 4 O 2.66, 1 Na 2.69
4 As 0.7500 0.7500 0.2551  4 Pd 2.62, 4 O 2.66, 1 Na 2.69
5 Pd 0.2500 0.7500 0.5000  4 As 2.62, 4 Pd 2.91
6 Pd 0.7500 0.2500 0.5000  4 As 2.62, 4 Pd 2.91
7 O 0.2500 0.7500 0.0000  4 Na 2.29
8 O 0.7500 0.2500 0.0000  4 Na 2.29

energy above the lowest structure with this stoichiometry = 0.1287 eV/atom
E_tot = -4.43 eV/atom



A geometry-optimized NaPmAsO structure, computed with PBE.

Cell lengths 3.6615, 8.1296, 6.7502 Å; angles 90.00, 90.00, 90.00 degrees
With the nearest neighbours (Å) after each atom.
Fractional coordinates of all 8 atoms:
1 Na 0.0000 0.2138 0.0000  2 O 2.40
2 Na 0.0000 0.7862 0.5000  2 O 2.40
3 Pm 0.5000 0.3828 0.5822  2 O 2.19-2.20
4 Pm 0.5000 0.6172 0.0822  2 O 2.19-2.20
5 As 0.0000 0.1350 0.4289  2 Na 2.88-2.97, 2 Pm 2.91
6 As 0.0000 0.8650 0.9289  2 Na 2.88-2.97, 2 Pm 2.91
7 O 0.5000 0.3895 0.9084  2 Pm 2.19-2.20, 2 Na 2.40
8 O 0.5000 0.6105 0.4084  2 Pm 2.19-2.20, 2 Na 2.40

energy above the lowest structure with this stoichiometry = 0.3106 eV/atom
E_tot = -5.27 eV/atom



A geometry-optimized NaPmAsO structure, computed with PBE.

Cell lengths 3.6543, 8.4319, 6.1359 Å; angles 90.00, 90.00, 90.00 degrees
With the nearest neighbours (Å) after each atom.
Fractional coordinates of all 8 atoms:
1 Na 0.0000 0.0791 0.0000  2 O 2.24-2.33
2 Na 0.0000 0.9209 0.5000  2 O 2.24-2.33
3 Pm 0.5000 0.3101 0.3884  2 O 2.20
4 Pm 0.5000 0.6899 0.8884  2 O 2.20
5 As 0.5000 0.3395 0.8813  2 Na 2.95, 3 Pm 2.95-3.12
6 As 0.5000 0.6605 0.3813  2 Na 2.95, 3 Pm 2.95-3.12
7 O 0.0000 0.1668 0.3601  2 Pm 2.20, 2 Na 2.24-2.33
8 O 0.0000 0.8332 0.8601  2 Pm 2.20, 2 Na 2.24-2.33

energy above the lowest structure with this stoichiometry = 0.1100 eV/atom
E_tot = -5.47 eV/atom



A geometry-optimized NaPmAsO structure, computed with PBE.

Cell lengths 3.9924, 3.9924, 10.4768 Å; angles 90.00, 90.00, 90.00 degrees
With the nearest neighbours (Å) after each atom.
Fractional coordinates of all 8 atoms:
1 Na 0.2500 0.7500 0.0000  4 Na 2.82, 4 As 2.94
2 Na 0.7500 0.2500 0.0000  4 Na 2.82, 4 As 2.94
3 Pm 0.2500 0.2500 0.3885  4 O 2.31
4 Pm 0.7500 0.7500 0.6115  4 O 2.31
5 As 0.2500 0.2500 0.7941  4 Na 2.94
6 As 0.7500 0.7500 0.2059  4 Na 2.94
7 O 0.2500 0.7500 0.5000  4 Pm 2.31
8 O 0.7500 0.2500 0.5000  4 Pm 2.31

energy above the lowest structure with this stoichiometry = 0.0000 eV/atom
E_tot = -5.58 eV/atom



A geometry-optimized NaPmAsO structure, computed with PBE.

Cell lengths 5.8835, 5.8835, 5.0219 Å; angles 90.00, 90.00, 90.00 degrees
With the nearest neighbours (Å) after each atom.
Fractional coordinates of all 8 atoms:
1 Na 0.2500 0.2500 0.0017  2 As 2.51
2 Na 0.7500 0.7500 0.9983  2 As 2.51
3 Pm 0.2500 0.7500 0.5000  2 O 2.51
4 Pm 0.7500 0.2500 0.5000  2 O 2.51
5 As 0.2500 0.2500 0.5017  2 Na 2.51
6 As 0.7500 0.7500 0.4983  2 Na 2.51
7 O 0.2500 0.7500 0.0000  2 Pm 2.51
8 O 0.7500 0.2500 0.0000  2 Pm 2.51

energy above the lowest structure with this stoichiometry = 0.5075 eV/atom
E_tot = -5.07 eV/atom